A plane-wave DFT calculation with PBE was carried out for a geometry-optimized Lu2Tc structure.

a b c (Å): 5.735 5.735 5.735
angles (deg): 60.00 60.00 60.00
Positions (direct):
Lu: 0.000 0.000 0.000
Lu: 0.000 0.000 0.500
Lu: 0.000 0.500 0.000
Lu: 0.500 0.000 0.000
Tc: 0.375 0.375 0.375
Tc: 0.625 0.625 0.625

Results
ρ ... 11.15 g cm⁻³
Calculated formation energy ... 0.99 eV per atom



A plane-wave DFT calculation with PBE was carried out for a geometry-optimized LuTcTe structure.

a b c (Å): 4.712 4.712 4.712
angles (deg): 60.00 60.00 60.00
Positions (direct):
Lu: 0.000 0.000 0.000
Tc: 0.750 0.750 0.750
Te: 0.250 0.250 0.250

Results
ρ ... 8.99 g cm⁻³
Relative energy among the computed polymorphs ... 64.2 kJ per mole of atoms



What did the second record say?
A plane-wave DFT calculation with PBE was carried out for a geometry-optimized LuTcTe structure.

a b c (Å): 4.712 4.712 4.712
angles (deg): 60.00 60.00 60.00
Positions (direct):
Lu: 0.000 0.000 0.000
Tc: 0.750 0.750 0.750
Te: 0.250 0.250 0.250

Results
ρ ... 8.99 g cm⁻³
Relative energy among the computed polymorphs ... 64.2 kJ per mole of atoms



- The lowest ρ belongs to which entry?
  LuTcTe



- The highest ρ belongs to which entry?
  Lu2Tc